AcTbCo2 | PBE | optimized geometry

total magnetization	0.8	μB per formula unit
ΔE to the lowest computed polymorph	0.04	eV per formula unit
formation enthalpy at 0 K	0.10	eV per atom

Unit cell a=7.007 b=7.007 c=7.007 alpha=90.00 beta=90.00 gamma=90.00
Space group Fm-3m (No. 225)
Inequivalent atoms, fractional coordinates:
Ac (0.000, 0.000, 0.000)
Tb (0.000, 0.000, 0.500)
Co (0.250, 0.250, 0.250)

***

NdCuAg2Te4 | PBE | optimized geometry

total magnetization	0.0	μB per formula unit
E_tot	-3.7815	eV/atom

Unit cell a=4.299 b=14.836 c=13.775 alpha=90.00 beta=90.00 gamma=90.00
Space group Cmcm (No. 63)
Inequivalent atoms, fractional coordinates:
Nd (0.000, 0.099, 0.250)
Cu (0.000, 0.160, 0.750)
Ag (0.000, 0.373, 0.061)
Te (0.000, 0.000, 0.000)
Te (0.000, 0.293, 0.623)
Te (0.000, 0.439, 0.250)

***

Ac6InGe2 | PBE | optimized geometry

total magnetization	0.0	μB per formula unit
ΔE to the lowest computed polymorph	0.00	eV per formula unit
formation enthalpy at 0 K	-0.45	eV per atom

Unit cell a=10.638 b=10.967 c=11.238 alpha=90.00 beta=90.00 gamma=90.00
Space group Immm (No. 71)
Inequivalent atoms, fractional coordinates:
Ac (0.000, 0.200, 0.245)
Ac (0.203, 0.500, 0.174)
Ac (0.226, 0.322, 0.500)
In (0.000, 0.000, 0.000)
In (0.000, 0.000, 0.500)
Ge (0.000, 0.362, 0.000)
Ge (0.000, 0.500, 0.386)